Entry 1:
AgCI2N, relaxed, DFT GGA-PBE; space-group type = P4/mmm, No. 123; M_tot = 2.7 μB/f.u.
1.0
-3.144 -3.718 -1.980
3.277 -2.746 -0.048
-1.230 -1.553 4.869
I C Ag N
2 1 1 1
direct
0.000 0.000 0.500
0.500 0.000 0.000
0.000 0.000 0.000
0.000 0.500 0.000
0.500 0.500 0.500

Entry 2:
AgCIN2, relaxed, DFT GGA-PBE; space-group type = P4/mmm, No. 123; M_tot = 4.6 μB/f.u.
1.0
-1.546 -0.819 3.533
-2.025 -2.992 -1.579
6.353 -5.140 1.590
I C Ag N
1 1 1 2
direct
0.000 0.000 0.500
0.500 0.500 0.500
0.000 0.000 0.000
0.000 0.500 0.000
0.500 0.000 0.000

Entry 3:
AgCI2N, relaxed, DFT GGA-PBE; space-group type = P4/mmm, No. 123; M_tot = 0.2 μB/f.u.
1.0
7.722 0.000 0.000
0.000 7.722 0.000
0.000 0.000 2.632
I C Ag N
2 1 1 1
direct
0.000 0.500 0.000
0.500 0.000 0.000
0.000 0.000 0.000
0.500 0.500 0.500
0.000 0.000 0.500

Entry 4:
AgCIO2, relaxed, DFT GGA-PBE; space-group type = P4/mmm, No. 123; M_tot = 0.0 μB/f.u.
1.0
3.835 0.000 0.000
0.000 3.835 0.000
0.000 0.000 4.683
I C O Ag
1 1 2 1
direct
0.000 0.000 0.500
0.000 0.000 0.000
0.000 0.500 0.000
0.500 0.000 0.000
0.500 0.500 0.500

Entry 5:
AgCIO2, relaxed, DFT GGA-PBE; space-group type = P4/mmm, No. 123; M_tot = 1.8 μB/f.u.
1.0
-2.824 0.611 2.646
-1.929 -5.629 -0.760
2.405 -1.208 2.846
I C O Ag
1 1 2 1
direct
0.000 0.000 0.000
0.500 0.500 0.500
0.000 0.000 0.500
0.500 0.000 0.000
0.000 0.500 0.000

Entry 6:
AgCIO2, relaxed, DFT GGA-PBE; space-group type = P4/mmm, No. 123; M_tot = 2.4 μB/f.u.
1.0
3.862 0.000 0.000
0.000 3.862 0.000
0.000 0.000 7.917
I C O Ag
1 1 2 1
direct
0.000 0.000 0.500
0.500 0.500 0.500
0.000 0.500 0.000
0.500 0.000 0.000
0.000 0.000 0.000

Entry 7:
AgOsCI2, relaxed, DFT GGA-PBE; space-group type = P4/mmm, No. 123; M_tot = 0.0 μB/f.u.
1.0
-2.574 0.105 -4.773
2.736 -2.274 -1.526
-2.844 -4.388 1.438
I C Os Ag
2 1 1 1
direct
0.000 0.000 0.500
0.500 0.000 0.000
0.000 0.000 0.000
0.000 0.500 0.000
0.500 0.500 0.500

Entry 8:
Ag2CSI, relaxed, DFT GGA-PBE; space-group type = P4/mmm, No. 123; M_tot = 1.9 μB/f.u.
1.0
4.727 0.000 0.000
0.000 6.102 0.000
0.000 0.000 4.727
I S C Ag
1 1 1 2
direct
0.000 0.500 0.000
0.000 0.000 0.000
0.500 0.500 0.500
0.000 0.000 0.500
0.500 0.000 0.000

For the records above, the corresponding raw formation energy values read 1.962 2.806 0.935 1.297 1.453 1.572 1.333 1.526 eV/atom.